Compound: SbMoO6
Source: Alexandria
Functional: PBE+U
Structure: relaxed

Unit cell a=7.7652 b=7.7652 c=7.7652 alpha=90.00 beta=90.00 gamma=90.00
Space group Fm-3m (No. 225)
Unique sites:
Sb 0.0000 0.0000 0.0000 x4
Mo 0.0000 0.0000 0.5000 x4
O 0.0000 0.0000 0.2536 x24

The value obtained for the uncorrected energy is -50.16 eV per formula unit. The total magnetization is 0.65 μB/f.u.